Version P
The following is a PBE calculation of an optimized crystal structure of Y2Ho2Tm, from Alexandria.

**Crystal system**: tetragonal
**Spin magnetization**: 0.0 μB per formula unit

Cell lengths 9.235, 9.235, 3.715 Å; angles 90.00, 90.00, 90.00 degrees
Fractional coordinates of all 10 atoms:
1 Y 0.171 0.329 0.000
2 Y 0.329 0.829 0.000
3 Y 0.671 0.171 0.000
4 Y 0.829 0.671 0.000
5 Ho 0.127 0.627 0.500
6 Ho 0.373 0.127 0.500
7 Ho 0.627 0.873 0.500
8 Ho 0.873 0.373 0.500
9 Tm 0.000 0.000 0.500
10 Tm 0.500 0.500 0.500

=====

Version Q
The following is a PBE calculation of an optimized crystal structure of Y2Ho2Tm, from Alexandria.

**Crystal system**: monoclinic
**Spin magnetization**: 0.0 μB per formula unit

Cell lengths 14.477, 7.099, 6.149 Å; angles 90.00, 98.09, 90.00 degrees
Fractional coordinates of all 20 atoms:
1 Y 0.102 0.125 0.117
2 Y 0.102 0.375 0.617
3 Y 0.301 0.625 0.853
4 Y 0.301 0.875 0.353
5 Y 0.699 0.125 0.647
6 Y 0.699 0.375 0.147
7 Y 0.898 0.625 0.383
8 Y 0.898 0.875 0.883
9 Ho 0.101 0.625 0.118
10 Ho 0.101 0.875 0.618
11 Ho 0.499 0.125 0.248
12 Ho 0.499 0.375 0.748
13 Ho 0.501 0.625 0.252
14 Ho 0.501 0.875 0.752
15 Ho 0.899 0.125 0.382
16 Ho 0.899 0.375 0.882
17 Tm 0.301 0.125 0.851
18 Tm 0.301 0.375 0.351
19 Tm 0.699 0.625 0.649
20 Tm 0.699 0.875 0.149

=====

Least stable: version P

=====

Version P
The following is a PBE calculation of an optimized crystal structure of Y3Ho6Tm, from Alexandria.

**Crystal system**: orthorhombic
**Spin magnetization**: 0.0 μB per formula unit

Cell lengths 9.001, 9.001, 8.854 Å; angles 90.00, 90.00, 117.64 degrees
Fractional coordinates of all 20 atoms:
1 Y 0.050 0.950 0.500
2 Y 0.175 0.473 0.988
3 Y 0.473 0.175 0.488
4 Y 0.527 0.825 0.988
5 Y 0.825 0.527 0.488
6 Y 0.950 0.050 0.000
7 Ho 0.029 0.322 0.639
8 Ho 0.196 0.312 0.314
9 Ho 0.218 0.782 0.744
10 Ho 0.312 0.196 0.814
11 Ho 0.322 0.029 0.139
12 Ho 0.447 0.553 0.626
13 Ho 0.553 0.447 0.126
14 Ho 0.678 0.971 0.639
15 Ho 0.688 0.804 0.314
16 Ho 0.782 0.218 0.244
17 Ho 0.804 0.688 0.814
18 Ho 0.971 0.678 0.139
19 Tm 0.280 0.720 0.377
20 Tm 0.720 0.280 0.877

=====

Version Q
The following is a PBE calculation of an optimized crystal structure of Y3Ho6Tm, from Alexandria.

**Crystal system**: orthorhombic
**Spin magnetization**: 0.0 μB per formula unit

Cell lengths 10.946, 10.946, 6.136 Å; angles 90.00, 90.00, 119.72 degrees
Fractional coordinates of all 20 atoms:
1 Y 0.109 0.891 0.500
2 Y 0.222 0.439 0.110
3 Y 0.439 0.222 0.610
4 Y 0.561 0.778 0.110
5 Y 0.778 0.561 0.610
6 Y 0.891 0.109 0.000
7 Ho 0.038 0.460 0.706
8 Ho 0.117 0.212 0.537
9 Ho 0.212 0.117 0.037
10 Ho 0.217 0.783 0.929
11 Ho 0.451 0.549 0.640
12 Ho 0.460 0.038 0.206
13 Ho 0.540 0.962 0.706
14 Ho 0.549 0.451 0.140
15 Ho 0.783 0.217 0.429
16 Ho 0.788 0.883 0.537
17 Ho 0.883 0.788 0.037
18 Ho 0.962 0.540 0.206
19 Tm 0.291 0.709 0.422
20 Tm 0.709 0.291 0.922

=====

Least stable: version Q

=====

Version P
The following is a PBE calculation of an optimized crystal structure of Y2HoTm7, from Alexandria.

**Crystal system**: monoclinic
**Spin magnetization**: 0.0 μB per formula unit

Cell lengths 15.021, 15.021, 3.466 Å; angles 90.10, 90.10, 156.75 degrees
Fractional coordinates of all 10 atoms:
1 Y 0.208 0.792 0.000
2 Y 0.792 0.208 0.000
3 Ho 0.000 0.000 0.500
4 Tm 0.147 0.345 0.769
5 Tm 0.310 0.690 0.500
6 Tm 0.345 0.147 0.769
7 Tm 0.500 0.500 0.000
8 Tm 0.655 0.853 0.231
9 Tm 0.690 0.310 0.500
10 Tm 0.853 0.655 0.231

=====

Version Q
The following is a PBE calculation of an optimized crystal structure of Y2HoTm7, from Alexandria.

**Crystal system**: orthorhombic
**Spin magnetization**: 0.0 μB per formula unit

Cell lengths 9.870, 9.870, 4.930 Å; angles 90.00, 90.00, 129.11 degrees
Fractional coordinates of all 10 atoms:
1 Y 0.202 0.798 0.000
2 Y 0.798 0.202 0.000
3 Ho 0.500 0.500 0.500
4 Tm 0.000 0.000 0.000
5 Tm 0.216 0.421 0.000
6 Tm 0.311 0.689 0.500
7 Tm 0.421 0.216 0.000
8 Tm 0.579 0.784 0.000
9 Tm 0.689 0.311 0.500
10 Tm 0.784 0.579 0.000

=====

Least stable: version Q

=====

Version P
The following is a PBE calculation of an optimized crystal structure of Y4Ho3Tm4, from Alexandria.

**Crystal system**: monoclinic
**Spin magnetization**: 0.0 μB per formula unit

Cell lengths 19.664, 19.664, 38.852 Å; angles 171.07, 171.07, 10.29 degrees
Fractional coordinates of all 11 atoms:
1 Y 0.000 0.000 0.046
2 Y 0.000 0.000 0.318
3 Y 0.000 0.000 0.682
4 Y 0.000 0.000 0.954
5 Ho 0.000 0.000 0.500
6 Ho 0.001 0.001 0.864
7 Ho 0.999 0.999 0.136
8 Tm 0.000 0.000 0.227
9 Tm 0.000 0.000 0.409
10 Tm 0.000 0.000 0.591
11 Tm 0.000 0.000 0.773

=====

Version Q
The following is a PBE calculation of an optimized crystal structure of Y4Ho3Tm4, from Alexandria.

**Crystal system**: monoclinic
**Spin magnetization**: 0.0 μB per formula unit

Cell lengths 17.963, 17.963, 5.565 Å; angles 98.87, 98.87, 11.14 degrees
Fractional coordinates of all 11 atoms:
1 Y 0.090 0.090 0.090
2 Y 0.233 0.233 0.733
3 Y 0.767 0.767 0.267
4 Y 0.910 0.910 0.910
5 Ho 0.364 0.364 0.364
6 Ho 0.500 0.500 0.000
7 Ho 0.636 0.636 0.636
8 Tm 0.045 0.045 0.545
9 Tm 0.180 0.180 0.180
10 Tm 0.820 0.820 0.820
11 Tm 0.955 0.955 0.455

=====

Least stable: version Q

=====

Version P
The following is a PBE calculation of an optimized crystal structure of Y3Ho7Tm2, from Alexandria.

**Crystal system**: trigonal
**Spin magnetization**: 0.0 μB per formula unit

Cell lengths 11.587, 11.587, 11.587 Å; angles 32.41, 32.41, 32.41 degrees
Fractional coordinates of all 12 atoms:
1 Y 0.000 0.000 0.000
2 Y 0.151 0.151 0.151
3 Y 0.849 0.849 0.849
4 Ho 0.081 0.586 0.586
5 Ho 0.414 0.414 0.919
6 Ho 0.414 0.919 0.414
7 Ho 0.500 0.500 0.500
8 Ho 0.586 0.081 0.586
9 Ho 0.586 0.586 0.081
10 Ho 0.919 0.414 0.414
11 Tm 0.333 0.333 0.333
12 Tm 0.667 0.667 0.667

=====

Version Q
The following is a PBE calculation of an optimized crystal structure of Y3Ho7Tm2, from Alexandria.

**Crystal system**: monoclinic
**Spin magnetization**: 0.0 μB per formula unit

Cell lengths 5.746, 3.555, 18.522 Å; angles 90.00, 93.50, 90.00 degrees
Fractional coordinates of all 12 atoms:
1 Y 0.000 0.000 0.000
2 Y 0.277 0.500 0.633
3 Y 0.723 0.500 0.367
4 Ho 0.187 0.500 0.144
5 Ho 0.243 0.000 0.463
6 Ho 0.311 0.000 0.821
7 Ho 0.500 0.500 0.000
8 Ho 0.689 0.000 0.179
9 Ho 0.757 0.000 0.537
10 Ho 0.813 0.500 0.856
11 Tm 0.211 0.000 0.294
12 Tm 0.789 0.000 0.706

=====

Least stable: version P

=====

Version P
The following is a PBE calculation of an optimized crystal structure of Y6HoTm4, from Alexandria.

**Crystal system**: tetragonal
**Spin magnetization**: 0.0 μB per formula unit

Cell lengths 9.715, 9.715, 9.715 Å; angles 140.87, 140.87, 56.54 degrees
Fractional coordinates of all 11 atoms:
1 Y 0.000 0.500 0.500
2 Y 0.013 0.639 0.000
3 Y 0.361 0.361 0.374
4 Y 0.500 0.000 0.500
5 Y 0.639 0.013 0.000
6 Y 0.987 0.987 0.626
7 Ho 0.000 0.000 0.000
8 Tm 0.189 0.189 0.640
9 Tm 0.452 0.811 0.000
10 Tm 0.548 0.548 0.360
11 Tm 0.811 0.452 0.000

=====

Version Q
The following is a PBE calculation of an optimized crystal structure of Y6HoTm4, from Alexandria.

**Crystal system**: hexagonal
**Spin magnetization**: 0.0 μB per formula unit

Cell lengths 10.838, 10.838, 3.528 Å; angles 90.00, 90.00, 120.00 degrees
Fractional coordinates of all 11 atoms:
1 Y 0.183 0.365 0.000
2 Y 0.183 0.817 0.000
3 Y 0.521 0.042 0.500
4 Y 0.521 0.479 0.500
5 Y 0.635 0.817 0.000
6 Y 0.958 0.479 0.500
7 Ho 0.000 0.000 0.500
8 Tm 0.319 0.159 0.000
9 Tm 0.333 0.667 0.500
10 Tm 0.841 0.159 0.000
11 Tm 0.841 0.681 0.000

=====

Least stable: version P